VASP calculation (PBE+U) on an optimized crystal structure of PmMoO3.

Crystal system: monoclinic
Magnetic moment: 2.0 Bohr magnetons per cell
E_tot: -7.579 eV/atom

Cell: 5.958 3.488 6.474 Å, 90.00 97.16 90.00°
Positions (direct):
Pm1 0.114 0.250 0.279
Pm2 0.886 0.750 0.721
Mo1 0.408 0.250 0.851
Mo2 0.592 0.750 0.149
O1 0.106 0.250 0.647
O2 0.237 0.750 0.013
O3 0.496 0.250 0.304
O4 0.504 0.750 0.696
O5 0.763 0.250 0.987
O6 0.894 0.750 0.353